## i
Material: NaCdPd4
Method: DFT, PBE-GGA
State: optimized geometry

Cell lengths 7.161, 7.161, 5.042 Å; angles 102.48, 102.48, 60.81 degrees
Positions (direct):
Na 0.203 0.203 0.100
Na 0.797 0.797 0.900
Cd 0.440 0.440 0.223
Cd 0.560 0.560 0.777
Pd 0.068 0.699 0.454
Pd 0.190 0.810 0.000
Pd 0.301 0.932 0.546
Pd 0.321 0.321 0.670
Pd 0.679 0.679 0.330
Pd 0.699 0.068 0.454
Pd 0.810 0.190 0.000
Pd 0.932 0.301 0.546

Computed properties:
ρ   8.5 g cm⁻³

## ii
Material: NaCdPd4
Method: DFT, PBE-GGA
State: optimized geometry

Cell lengths 5.346, 5.346, 5.346 Å; angles 60.00, 60.00, 60.00 degrees
Positions (direct):
Na 0.000 0.000 0.000
Cd 0.250 0.250 0.250
Pd 0.126 0.625 0.625
Pd 0.625 0.126 0.625
Pd 0.625 0.625 0.126
Pd 0.625 0.625 0.625

Computed properties:
ρ   8.6 g cm⁻³

Which structure loses on stability? i does.

## i
Material: Li6SiPd2
Method: DFT, PBE-GGA
State: optimized geometry

Cell lengths 5.215, 7.648, 6.540 Å; angles 90.00, 95.98, 90.00 degrees
Positions (direct):
Li 0.025 0.156 0.040
Li 0.025 0.344 0.540
Li 0.184 0.513 0.159
Li 0.184 0.987 0.659
Li 0.376 0.176 0.367
Li 0.376 0.324 0.867
Li 0.624 0.676 0.133
Li 0.624 0.824 0.633
Li 0.816 0.013 0.341
Li 0.816 0.487 0.841
Li 0.975 0.656 0.460
Li 0.975 0.844 0.960
Si 0.500 0.000 0.000
Si 0.500 0.500 0.500
Pd 0.306 0.645 0.787
Pd 0.306 0.855 0.287
Pd 0.694 0.145 0.713
Pd 0.694 0.355 0.213

Computed properties:
ρ   3.6 g cm⁻³

## ii
Material: Li6SiPd2
Method: DFT, PBE-GGA
State: optimized geometry

Cell lengths 5.031, 5.031, 5.026 Å; angles 96.18, 96.18, 95.96 degrees
Positions (direct):
Li 0.168 0.500 0.332
Li 0.168 0.832 0.000
Li 0.500 0.168 0.332
Li 0.500 0.832 0.668
Li 0.832 0.168 0.000
Li 0.832 0.500 0.668
Si 0.000 0.000 0.500
Pd 0.321 0.321 0.821
Pd 0.679 0.679 0.179

Computed properties:
ρ   3.8 g cm⁻³

Which structure loses on stability? i does.